Record 1
10
Lattice="5.4429 0.0000 0.0000 0.0000 6.0072 0.0000 -0.1505 0.0000 9.1915" Properties=species:S:1:pos:R:3 comment="Te3HAu | Alexandria | GGA-PBE | relaxed" dos_ef_per_ev_fu=1.8 sg="P2_1/m (11)" total_energy_ev_per_atom=-3.0675 e_above_lowest_polymorph_mev_per_atom=24 magnetic_moment_mub_per_cell=0.000 pbc="T T T"
Te 0.0140 1.5018 0.4045
Te 0.0995 4.5054 3.3560
Te 2.5587 4.5054 7.6177
Te 2.7337 1.5018 1.5738
Te 5.1928 1.5018 5.8355
Te 5.2784 4.5054 8.7870
H 1.4097 1.5018 6.1301
H 3.8826 4.5054 3.0615
Au 0.0103 1.5018 3.1490
Au 5.2821 4.5054 6.0425

***

Record 2
14
Lattice="6.1530 3.5524 1.8897 -6.1530 3.5524 1.8897 0.0000 -7.1048 1.8897" Properties=species:S:1:pos:R:3 comment="Hg3Pd4 | Alexandria | GGA-PBE | relaxed" dos_ef_per_ev_fu=2.7 sg="R-3 (148)" total_energy_ev_per_atom=-3.2461 ef_ev_per_atom=-0.15 magnetic_moment_mub_per_cell=0.000 pbc="T T T"
Hg -3.5794 -3.0564 2.7686
Hg -4.4366 1.5716 2.9004
Hg 0.8572 -4.6280 2.9004
Hg -0.8572 4.6280 2.7686
Hg 4.4366 -1.5716 2.7686
Hg 3.5794 3.0564 2.9004
Pd 0.0000 0.0000 0.0000
Pd -0.8911 -2.5790 1.8612
Pd -1.7879 2.0612 1.8612
Pd -2.6791 -0.5178 3.8078
Pd 0.0000 0.0000 2.8345
Pd 2.6791 0.5178 1.8612
Pd 1.7879 -2.0612 3.8078
Pd 0.8911 2.5790 3.8078